P.
The following is a PBE-GGA calculation of Sm2DyCu4Sn2Ge2 after structural relaxation, from OQMD via LeMat-Bulk.

Spin magnetization   0.00 μB per formula unit

Cell: 8.3419 8.3419 8.3419 Å, 149.26 132.49 57.65°
Last column: nearest neighbours and their distance in Å.
Fractional coordinates of all 11 atoms:
1 Cu 0.8462 0.6589 0.1873  1 Ge 2.46, 1 Cu 2.52, 2 Sn 2.68
2 Cu 0.4716 0.6589 0.8127  1 Ge 2.46, 1 Cu 2.52, 2 Sn 2.68
3 Cu 0.1538 0.3411 0.8127  1 Ge 2.46, 1 Cu 2.52, 2 Sn 2.68
4 Cu 0.5284 0.3411 0.1873  1 Ge 2.46, 1 Cu 2.52, 2 Sn 2.68
5 Dy 0.5000 0.0000 0.5000  4 Ge 3.03, 2 Sn 3.17
6 Ge 0.8078 0.5000 0.3078  2 Cu 2.46, 1 Ge 2.58
7 Ge 0.1922 0.5000 0.6922  2 Cu 2.46, 1 Ge 2.58
8 Sm 0.8732 0.8732 0.0000  6 Cu 3.09-3.38, 4 Ge 3.16, 2 Sn 3.18
9 Sn 0.2834 0.7834 0.5000  6 Cu 2.68-2.78
10 Sn 0.7166 0.2166 0.5000  6 Cu 2.68-2.78
11 Sm 0.1268 0.1268 0.0000  6 Cu 3.09-3.38, 4 Ge 3.16, 2 Sn 3.18

Q.
The following is a PBE-GGA calculation of Sm2DyCu4Sn2Ge2 after structural relaxation, from OQMD via LeMat-Bulk.

Spin magnetization   0.00 μB per formula unit

Cell: 8.3235 8.3235 8.3235 Å, 149.69 130.97 58.74°
Last column: nearest neighbours and their distance in Å.
Fractional coordinates of all 11 atoms:
1 Sm 0.1369 0.1369 0.0000  6 Cu 3.02-3.13, 2 Ge 3.05, 4 Sn 3.26
2 Ge 0.2846 0.7846 0.5000  6 Cu 2.59-2.71
3 Dy 0.5000 0.0000 0.5000  4 Sn 2.99, 2 Ge 3.12
4 Cu 0.5103 0.3259 0.1844  1 Cu 2.55, 3 Ge 2.59-2.71, 1 Sn 2.64
5 Sn 0.7975 0.5000 0.2975  2 Cu 2.64, 1 Sn 2.80
6 Sn 0.2025 0.5000 0.7025  2 Cu 2.64, 1 Sn 2.80
7 Sm 0.8631 0.8631 0.0000  6 Cu 3.02-3.13, 2 Ge 3.05, 4 Sn 3.26
8 Cu 0.1414 0.3259 0.8156  1 Cu 2.55, 3 Ge 2.59-2.71, 1 Sn 2.64
9 Cu 0.4897 0.6741 0.8156  1 Cu 2.55, 3 Ge 2.59-2.71, 1 Sn 2.64
10 Ge 0.7154 0.2154 0.5000  6 Cu 2.59-2.71
11 Cu 0.8586 0.6741 0.1844  1 Cu 2.55, 3 Ge 2.59-2.71, 1 Sn 2.64

The energy of each structure relative to the most stable one, in kJ/mol of atoms, is as follows: P 0.0; Q 6.9.

P.
The following is a PBE-GGA calculation of TbDy2Cu4Sn2Ge2 after structural relaxation, from OQMD via LeMat-Bulk.

Spin magnetization   0.01 μB per formula unit

Cell: 8.2899 8.2899 8.2899 Å, 149.55 132.16 57.77°
Last column: nearest neighbours and their distance in Å.
Fractional coordinates of all 11 atoms:
1 Dy 0.3750 0.8750 0.5000  6 Cu 3.06-3.38, 4 Ge 3.11, 2 Sn 3.15
2 Cu 0.3489 0.6593 0.6896  1 Ge 2.45, 1 Cu 2.55, 3 Sn 2.66-2.74
3 Dy 0.6250 0.1250 0.5000  6 Cu 3.06-3.38, 4 Ge 3.11, 2 Sn 3.15
4 Tb 0.0000 0.0000 0.0000  4 Ge 3.01, 2 Sn 3.17
5 Sn 0.7818 0.7818 0.0000  6 Cu 2.66-2.74
6 Ge 0.3097 0.5000 0.8097  2 Cu 2.45, 1 Ge 2.56
7 Ge 0.6903 0.5000 0.1903  2 Cu 2.45, 1 Ge 2.56
8 Cu 0.6511 0.3407 0.3104  1 Ge 2.45, 1 Cu 2.55, 3 Sn 2.66-2.74
9 Cu 0.9696 0.6593 0.3104  1 Ge 2.45, 1 Cu 2.55, 3 Sn 2.66-2.74
10 Sn 0.2182 0.2182 0.0000  6 Cu 2.66-2.74
11 Cu 0.0304 0.3407 0.6896  1 Ge 2.45, 1 Cu 2.55, 3 Sn 2.66-2.74

Q.
The following is a PBE-GGA calculation of TbDy2Cu4Sn2Ge2 after structural relaxation, from OQMD via LeMat-Bulk.

Spin magnetization   0.00 μB per formula unit

Cell: 8.2625 8.2625 8.2625 Å, 149.84 130.24 59.30°
Last column: nearest neighbours and their distance in Å.
Fractional coordinates of all 11 atoms:
1 Cu 0.3630 0.6760 0.6870  3 Ge 2.58-2.67, 1 Cu 2.60, 1 Sn 2.64
2 Cu 0.6370 0.3240 0.3130  3 Ge 2.58-2.67, 1 Cu 2.60, 1 Sn 2.64
3 Dy 0.6359 0.1359 0.5000  6 Cu 3.00-3.11, 2 Ge 3.02, 4 Sn 3.22
4 Cu 0.9890 0.6760 0.3130  3 Ge 2.58-2.67, 1 Cu 2.60, 1 Sn 2.64
5 Cu 0.0110 0.3240 0.6870  3 Ge 2.58-2.67, 1 Cu 2.60, 1 Sn 2.64
6 Dy 0.3641 0.8641 0.5000  6 Cu 3.00-3.11, 2 Ge 3.02, 4 Sn 3.22
7 Ge 0.2168 0.2168 0.0000  6 Cu 2.58-2.67
8 Sn 0.2989 0.5000 0.7989  2 Cu 2.64, 1 Sn 2.80
9 Tb 0.0000 0.0000 0.0000  4 Sn 2.99, 2 Ge 3.11
10 Sn 0.7011 0.5000 0.2011  2 Cu 2.64, 1 Sn 2.80
11 Ge 0.7832 0.7832 0.0000  6 Cu 2.58-2.67

The energy of each structure relative to the most stable one, in kJ/mol of atoms, is as follows: P 0.0; Q 6.5.

P.
The following is a PBE-GGA calculation of Tb2DyCu4Sn2Ge2 after structural relaxation, from OQMD via LeMat-Bulk.

Spin magnetization   0.01 μB per formula unit

Cell: 8.2864 8.2864 8.2864 Å, 149.40 132.27 57.77°
Last column: nearest neighbours and their distance in Å.
Fractional coordinates of all 11 atoms:
1 Tb 0.3745 0.8745 0.5000  6 Cu 3.06-3.37, 4 Ge 3.12, 2 Sn 3.16
2 Ge 0.6911 0.5000 0.1911  2 Cu 2.45, 1 Ge 2.56
3 Cu 0.3488 0.6596 0.6892  1 Ge 2.45, 1 Cu 2.54, 3 Sn 2.66-2.74
4 Cu 0.6512 0.3404 0.3108  1 Ge 2.45, 1 Cu 2.54, 3 Sn 2.66-2.74
5 Cu 0.9704 0.6596 0.3108  1 Ge 2.45, 1 Cu 2.54, 3 Sn 2.66-2.74
6 Sn 0.2176 0.2176 0.0000  6 Cu 2.66-2.74
7 Ge 0.3089 0.5000 0.8089  2 Cu 2.45, 1 Ge 2.56
8 Tb 0.6255 0.1255 0.5000  6 Cu 3.06-3.37, 4 Ge 3.12, 2 Sn 3.16
9 Sn 0.7824 0.7824 0.0000  6 Cu 2.66-2.74
10 Cu 0.0296 0.3404 0.6892  1 Ge 2.45, 1 Cu 2.54, 3 Sn 2.66-2.74
11 Dy 0.0000 0.0000 0.0000  4 Ge 3.01, 2 Sn 3.16

Q.
The following is a PBE-GGA calculation of Tb2DyCu4Sn2Ge2 after structural relaxation, from OQMD via LeMat-Bulk.

Spin magnetization   0.00 μB per formula unit

Cell: 8.2606 8.2606 8.2606 Å, 149.82 130.48 59.10°
Last column: nearest neighbours and their distance in Å.
Fractional coordinates of all 11 atoms:
1 Ge 0.7835 0.7835 0.0000  6 Cu 2.58-2.67
2 Dy 0.0000 0.0000 0.0000  4 Sn 2.98, 2 Ge 3.11
3 Tb 0.6363 0.1363 0.5000  6 Cu 3.00-3.11, 2 Ge 3.02, 4 Sn 3.23
4 Cu 0.3615 0.6752 0.6862  3 Ge 2.58-2.67, 1 Cu 2.58, 1 Sn 2.64
5 Cu 0.9890 0.6752 0.3138  3 Ge 2.58-2.67, 1 Cu 2.58, 1 Sn 2.64
6 Tb 0.3637 0.8637 0.5000  6 Cu 3.00-3.11, 2 Ge 3.02, 4 Sn 3.23
7 Ge 0.2165 0.2165 0.0000  6 Cu 2.58-2.67
8 Sn 0.7017 0.5000 0.2017  2 Cu 2.64, 1 Sn 2.79
9 Cu 0.6385 0.3248 0.3138  3 Ge 2.58-2.67, 1 Cu 2.58, 1 Sn 2.64
10 Cu 0.0110 0.3248 0.6862  3 Ge 2.58-2.67, 1 Cu 2.58, 1 Sn 2.64
11 Sn 0.2983 0.5000 0.7983  2 Cu 2.64, 1 Sn 2.79

The energy of each structure relative to the most stable one, in kJ/mol of atoms, is as follows: P 0.0; Q 6.5.

P.
The following is a PBE-GGA calculation of DyY2Cu4Sn2Ge2 after structural relaxation, from OQMD via LeMat-Bulk.

Spin magnetization   0.00 μB per formula unit

Cell: 8.2796 8.2796 8.2796 Å, 149.47 132.14 57.84°
Last column: nearest neighbours and their distance in Å.
Fractional coordinates of all 11 atoms:
1 Y 0.3747 0.8747 0.5000  6 Cu 3.06-3.37, 4 Ge 3.12, 2 Sn 3.15
2 Cu 0.3480 0.6594 0.6886  1 Ge 2.45, 1 Cu 2.53, 2 Sn 2.66
3 Sn 0.2180 0.2180 0.0000  6 Cu 2.66-2.74
4 Y 0.6253 0.1253 0.5000  6 Cu 3.06-3.37, 4 Ge 3.12, 2 Sn 3.15
5 Ge 0.3087 0.5000 0.8087  2 Cu 2.45, 1 Ge 2.57
6 Cu 0.9708 0.6594 0.3114  1 Ge 2.45, 1 Cu 2.53, 2 Sn 2.66
7 Dy 0.0000 0.0000 0.0000  4 Ge 3.01, 2 Sn 3.16
8 Cu 0.6520 0.3406 0.3114  1 Ge 2.45, 1 Cu 2.53, 2 Sn 2.66
9 Sn 0.7820 0.7820 0.0000  6 Cu 2.66-2.74
10 Ge 0.6913 0.5000 0.1913  2 Cu 2.45, 1 Ge 2.57
11 Cu 0.0292 0.3406 0.6886  1 Ge 2.45, 1 Cu 2.53, 2 Sn 2.66

Q.
The following is a PBE-GGA calculation of DyY2Cu4Sn2Ge2 after structural relaxation, from OQMD via LeMat-Bulk.

Spin magnetization   0.00 μB per formula unit

Cell: 8.2478 8.2478 8.2478 Å, 149.81 130.25 59.30°
Last column: nearest neighbours and their distance in Å.
Fractional coordinates of all 11 atoms:
1 Dy 0.0000 0.0000 0.0000  4 Sn 2.98, 2 Ge 3.10
2 Y 0.3649 0.8649 0.5000  6 Cu 3.00-3.11, 2 Ge 3.03, 4 Sn 3.21
3 Ge 0.7839 0.7839 0.0000  6 Cu 2.57-2.66
4 Ge 0.2161 0.2161 0.0000  6 Cu 2.57-2.66
5 Cu 0.6361 0.3235 0.3126  3 Ge 2.57-2.66, 1 Cu 2.60, 1 Sn 2.64
6 Cu 0.0109 0.3235 0.6874  3 Ge 2.57-2.66, 1 Cu 2.60, 1 Sn 2.64
7 Y 0.6351 0.1351 0.5000  6 Cu 3.00-3.11, 2 Ge 3.03, 4 Sn 3.21
8 Cu 0.3639 0.6765 0.6874  3 Ge 2.57-2.66, 1 Cu 2.60, 1 Sn 2.64
9 Sn 0.2978 0.5000 0.7978  2 Cu 2.64, 1 Sn 2.81
10 Sn 0.7022 0.5000 0.2022  2 Cu 2.64, 1 Sn 2.81
11 Cu 0.9891 0.6765 0.3126  3 Ge 2.57-2.66, 1 Cu 2.60, 1 Sn 2.64

The energy of each structure relative to the most stable one, in kJ/mol of atoms, is as follows: P 0.0; Q 6.3.

P.
The following is a PBE-GGA calculation of DyCuGeTe3 after structural relaxation, from OQMD via LeMat-Bulk.

Spin magnetization   0.00 μB per formula unit

Cell: 12.0741 4.2825 12.2095 Å, 90.00 90.00 90.00°
Last column: nearest neighbours and their distance in Å.
Fractional coordinates of all 24 atoms:
1 Te 0.2076 0.5000 0.1762  2 Cu 2.63
2 Ge 0.1832 0.0000 0.9839  7 Te 3.04-3.37, 2 Cu 3.27
3 Cu 0.7351 0.5000 0.7116  4 Te 2.59-2.64
4 Ge 0.6832 0.0000 0.5161  7 Te 3.04-3.37, 2 Cu 3.27
5 Te 0.7076 0.5000 0.3238  2 Cu 2.63
6 Dy 0.9697 0.5000 0.3114  7 Te 3.11-3.31
7 Cu 0.2351 0.5000 0.7884  4 Te 2.59-2.64
8 Te 0.3935 0.5000 0.9372  1 Cu 2.64
9 Ge 0.8168 0.5000 0.0161  7 Te 3.04-3.37, 2 Cu 3.27
10 Te 0.8935 0.5000 0.5628  1 Cu 2.64
11 Te 0.6065 0.0000 0.0628  1 Cu 2.64
12 Te 0.0403 0.5000 0.8776  1 Cu 2.59
13 Te 0.2924 0.0000 0.6762  2 Cu 2.63
14 Dy 0.0303 0.0000 0.6886  7 Te 3.11-3.31
15 Cu 0.2649 0.0000 0.2884  4 Te 2.59-2.64
16 Cu 0.7649 0.0000 0.2116  4 Te 2.59-2.64
17 Te 0.7924 0.0000 0.8238  2 Cu 2.63
18 Te 0.4597 0.0000 0.3776  1 Cu 2.59
19 Te 0.5403 0.5000 0.6224  1 Cu 2.59
20 Te 0.1065 0.0000 0.4372  1 Cu 2.64
21 Ge 0.3168 0.5000 0.4839  7 Te 3.04-3.37, 2 Cu 3.27
22 Dy 0.4697 0.5000 0.1886  7 Te 3.11-3.31
23 Dy 0.5303 0.0000 0.8114  7 Te 3.11-3.31
24 Te 0.9597 0.0000 0.1224  1 Cu 2.59

Q.
The following is a PBE-GGA calculation of DyCuGeTe3 after structural relaxation, from OQMD via LeMat-Bulk.

Spin magnetization   0.00 μB per formula unit

Cell: 4.1390 7.4094 11.0331 Å, 90.00 90.00 73.78°
Last column: nearest neighbours and their distance in Å.
Fractional coordinates of all 12 atoms:
1 Cu 0.5230 0.9540 0.2500  4 Te 2.66-2.67
2 Te 0.9047 0.1906 0.2500  2 Cu 2.67
3 Te 0.6489 0.7023 0.4283  1 Cu 2.66
4 Te 0.3511 0.2977 0.5717  1 Cu 2.66
5 Ge 0.7794 0.4412 0.7500  6 Te 3.03-3.34
6 Dy 0.0000 0.0000 0.5000  6 Te 3.07
7 Te 0.6489 0.7023 0.0717  1 Cu 2.66
8 Ge 0.2206 0.5588 0.2500  6 Te 3.03-3.34
9 Cu 0.4770 0.0460 0.7500  4 Te 2.66-2.67
10 Te 0.3511 0.2977 0.9283  1 Cu 2.66
11 Te 0.0953 0.8094 0.7500  2 Cu 2.67
12 Dy 0.0000 0.0000 0.0000  6 Te 3.07

The energy of each structure relative to the most stable one, in kJ/mol of atoms, is as follows: P 2.9; Q 0.0.

P.
The following is a PBE-GGA calculation of DyHoCu2 after structural relaxation, from OQMD via LeMat-Bulk.

Spin magnetization   0.00 μB per formula unit

Cell: 4.4709 5.3469 7.0861 Å, 90.00 90.00 90.00°
Last column: nearest neighbours and their distance in Å.
Fractional coordinates of all 8 atoms:
1 Cu 0.5000 0.8770 0.9673  2 Cu 2.66, 3 Ho 2.84-2.91
2 Ho 0.5000 0.3843 0.8182  7 Cu 2.84-3.02
3 Cu 0.5000 0.1230 0.4673  2 Cu 2.66, 3 Ho 2.84-2.91
4 Cu 0.0000 0.6228 0.0327  2 Cu 2.66, 3 Dy 2.84-2.91
5 Ho 0.5000 0.6157 0.3182  7 Cu 2.84-3.02
6 Cu 0.0000 0.3772 0.5327  2 Cu 2.66, 3 Dy 2.84-2.91
7 Dy 0.0000 0.1158 0.1817  7 Cu 2.84-3.02
8 Dy 0.0000 0.8842 0.6817  7 Cu 2.84-3.02

Q.
The following is a PBE-GGA calculation of DyHoCu2 after structural relaxation, from OQMD via LeMat-Bulk.

Spin magnetization   0.01 μB per formula unit

Cell: 4.4759 5.4555 5.4555 Å, 39.48 90.00 90.00°
Last column: nearest neighbours and their distance in Å.
Fractional coordinates of all 4 atoms:
1 Ho 0.5000 0.3601 0.3601  7 Cu 2.85-2.98
2 Cu 0.5000 0.0717 0.0717  2 Cu 2.68, 3 Ho 2.85-2.96, 4 Dy 2.98
3 Cu 0.0000 0.9278 0.9278  2 Cu 2.68, 3 Dy 2.86-2.95, 4 Ho 2.98
4 Dy 0.0000 0.6404 0.6404  7 Cu 2.86-2.98

The energy of each structure relative to the most stable one, in kJ/mol of atoms, is as follows: P 0.0; Q 0.9.